(1)
PBE CePm2Tl3S6, optimized geometry; N(E_F) = 0.485 states/eV per atom; spin magnetization = 1.013 μB per formula unit; energy relative to the elements, uncorrected = -1.44 eV per atom; E = -5.383 eV/atom
1.0
3.611 -6.254 0.000
3.611 6.254 0.000
-2.408 0.000 7.492
Ce Pm Tl S
1 2 3 6
Cartesian
0.000 0.000 0.000
3.611 2.084 0.000
3.611 -2.084 0.000
2.407 4.166 3.746
2.407 0.000 3.746
2.407 -4.166 3.746
1.208 2.093 1.518
0.008 0.000 5.977
1.208 -2.093 1.518
3.607 2.093 5.974
4.806 0.000 1.515
3.607 -2.093 5.974

=====

(2)
PBE TbBe2Al, optimized geometry; N(E_F) = 0.656 states/eV per atom; spin magnetization = 0.000 μB per formula unit; calculated formation energy = -0.50 eV/f.u.; E = -4.081 eV/atom
1.0
1.979 1.142 4.871
-1.979 1.142 4.871
0.000 -2.285 4.871
Tb Be Al
1 2 1
Cartesian
0.000 0.000 0.000
0.000 0.000 2.922
0.000 0.000 11.690
0.000 0.000 7.306

=====

(3)
PBE Rb2TbSbS4, optimized geometry; spin magnetization = 0.000 μB per formula unit; energy relative to the elements, uncorrected = -1.21 eV per atom; E = -4.610 eV/atom
1.0
-4.253 4.310 6.055
4.253 -4.310 6.055
4.253 4.310 -6.055
Rb Tb Sb S
4 2 2 8
Cartesian
0.000 0.000 0.000
-2.126 2.155 3.028
0.000 4.310 0.000
2.126 2.155 3.028
2.126 2.155 -3.028
2.126 -2.155 3.028
4.253 0.000 0.000
0.000 0.000 6.055
4.253 -0.321 2.815
4.253 3.989 -2.815
2.408 2.155 -0.232
6.097 2.155 -0.232
-1.845 2.155 6.287
1.845 2.155 6.287
0.000 0.321 8.870
0.000 4.631 3.240